{"formula": "InTe3Ru", "functional": "GGA-PBE", "state": "optimized geometry", "lattice": [[5.608, 0.000, 0.000], [0.000, 5.608, 0.000], [0.000, 0.000, 5.608]], "species": ["In", "Te", "Te", "Te", "Ru"], "frac_coords": [[0.000, 0.000, 0.000], [0.000, 0.000, 0.500], [0.000, 0.500, 0.000], [0.500, 0.000, 0.000], [0.500, 0.500, 0.500]], "density_g_cm3": 5.64, "volume_a3_per_atom": 35.28, "total_magnetization_mub_per_atom": 0.628, "e_form_raw_ev_per_atom": 1.277, "e_above_lowest_polymorph_mev_per_atom": 958, "dft_energy_ev_per_atom": -3.011}